This record from Alexandria via LeMat-Bulk describes a relaxed structure of Mg2Sn. The functional is GGA-PBE.

The structure in extended XYZ format:
```
12
Lattice="4.9960 0.0000 0.0000 -2.4980 4.3267 0.0000 0.0000 0.0000 13.2427" Properties=species:S:1:pos:R:3 pbc="T T T"
Mg 0.0000 0.0000 0.0000
Mg 0.0000 0.0000 9.9320
Mg 0.0000 0.0000 6.6214
Mg 0.0000 0.0000 3.3107
Mg 0.0000 2.8845 1.5774
Mg 2.4980 1.4422 8.1987
Mg 0.0000 2.8845 5.0440
Mg 2.4980 1.4422 11.6653
Sn 2.4980 1.4422 4.9672
Sn 0.0000 2.8845 11.5886
Sn 0.0000 2.8845 8.2755
Sn 2.4980 1.4422 1.6541
```

Calculated values
The formation energy is -0.08 eV/atom. The value obtained for the uncorrected energy is -2.475 eV/atom.